# Y2ZrTc

Y2ZrTc after structural relaxation (PBE, the Alexandria database).

The calculation puts the energy at -7.83 eV/atom. For the total magnetization, the calculation gives 0.036 μB/atom. As for the formation energy: 12.4 kJ per mole of atoms.

Unit cell a=3.4007 b=3.4007 c=29.9253 alpha=90.00 beta=90.00 gamma=120.00
Space group R3m (No. 160, hexagonal axes)
Inequivalent atoms, fractional coordinates:
Y 0.0000 0.0000 0.0000 (multiplicity 3)
Y 0.0000 0.0000 0.2265 (multiplicity 3)
Zr 0.0000 0.0000 0.4669 (multiplicity 3)
Tc 0.0000 0.0000 0.7383 (multiplicity 3)